{"formula": "U3Tl2FeO12", "functional": "PBE+U", "state": "relaxed", "total_energy_ev_per_atom": -8.0225, "dos_at_fermi_per_ev_cell": 5.676, "rho_g_cm3": 7.20, "lattice": [[-6.608, -2.995, -1.592], [-1.418, -6.576, 3.149], [-4.990, 0.052, 5.502]], "species": ["Tl", "Tl", "O", "O", "O", "O", "O", "O", "O", "O", "O", "O", "O", "O", "U", "U", "U", "Fe"], "fractional_positions": [[0.648, 0.648, 0.648], [0.352, 0.352, 0.352], [0.709, 0.055, 0.055], [0.950, 0.325, 0.325], [0.325, 0.325, 0.950], [0.945, 0.945, 0.291], [0.675, 0.675, 0.050], [0.055, 0.709, 0.055], [0.325, 0.950, 0.325], [0.945, 0.291, 0.945], [0.050, 0.675, 0.675], [0.675, 0.050, 0.675], [0.291, 0.945, 0.945], [0.055, 0.055, 0.709], [0.000, 0.000, 0.500], [0.500, 0.000, 0.000], [0.000, 0.500, 0.000], [0.000, 0.000, 0.000]]}